Compound: LuScTlTe3
Source: OQMD via LeMat-Bulk
Functional: GGA-PBE
Structure: optimized geometry

Geometry as POSCAR:
```
LuScTlTe3
1.0
2.1539 -7.6511 0.0000
2.1539 7.6511 0.0000
0.0000 0.0000 11.6533
Te Sc Lu Tl
6 2 2 2
direct
0.8609 0.1391 0.0351 Te
0.5636 0.4364 0.2500 Te
0.1391 0.8609 0.9649 Te
0.4364 0.5636 0.7500 Te
0.8609 0.1391 0.4649 Te
0.1391 0.8609 0.5351 Te
0.9424 0.0576 0.2500 Sc
0.0576 0.9424 0.7500 Sc
0.5000 0.5000 0.0000 Lu
0.5000 0.5000 0.5000 Lu
0.7476 0.2524 0.7500 Tl
0.2524 0.7476 0.2500 Tl
```

Output
The calculation puts the total DFT energy (no corrections) at -4.71 eV per atom. Its space-group type is Cmcm, No. 63.